(1)
Material: NaBi3Au3
Method: DFT, GGA-PBE
State: optimized geometry

Structure (POSCAR):
```
NaBi3Au3
1.0
4.8854 0.0000 0.0000
0.0000 8.1209 -4.6360
0.0000 -0.0449 9.3516
Na Bi Au
2 6 6
Direct
0.7500 0.3333 0.6667
0.2500 0.6667 0.3333
0.7500 0.7639 0.0449
0.7500 0.2810 0.2362
0.7500 0.9551 0.7190
0.2500 0.2361 0.9551
0.2500 0.7190 0.7638
0.2500 0.0449 0.2810
0.7500 0.9322 0.4022
0.7500 0.4700 0.0678
0.7500 0.5978 0.5300
0.2500 0.0678 0.5978
0.2500 0.5300 0.9322
0.2500 0.4022 0.4700
```

Values from the calculation:
ΔH_f (0 K) ... -0.15 eV per atom
E ... -3.404 eV/atom

***

(2)
Material: PmTm3Rh2
Method: DFT, GGA-PBE
State: optimized geometry

Structure (POSCAR):
```
PmTm3Rh2
1.0
-4.4382 0.1207 1.3001
-0.4639 -7.1046 -0.9241
2.3889 -1.2315 8.2692
Pm Tm Rh
2 6 4
Direct
0.5000 0.5125 0.5838
0.5000 0.0125 0.4162
0.0000 0.4861 0.9179
0.0000 0.9861 0.0821
0.5000 0.6416 0.1666
0.5000 0.1416 0.8334
0.0000 0.3599 0.3245
0.0000 0.8599 0.6755
0.5000 0.7478 0.8459
0.5000 0.2478 0.1541
0.0000 0.2522 0.6645
0.0000 0.7522 0.3355
```

Values from the calculation:
ΔH_f (0 K) ... -0.68 eV per atom
E ... -6.154 eV/atom

***

(3)
Material: ZrVP3
Method: DFT, GGA-PBE
State: optimized geometry

Structure (POSCAR):
```
ZrVP3
1.0
-1.9503 3.0457 2.6876
1.8168 -2.0124 3.5989
3.6330 2.6414 -0.3570
P Zr V
3 1 1
Direct
0.0000 0.5000 0.0000
0.0000 0.0000 0.5000
0.5000 0.0000 0.0000
0.5000 0.5000 0.5000
0.0000 0.0000 0.0000
```

Values from the calculation:
ΔH_f (0 K) ... 0.09 eV per atom
E ... -6.691 eV/atom

***

(4)
Material: Ca6Se5S
Method: DFT, GGA-PBE
State: optimized geometry

Structure (POSCAR):
```
Ca6Se5S
1.0
-3.0051 -0.4142 -6.5870
-1.2424 -6.9519 -1.6558
-6.3357 -3.0695 1.7536
Ca S Se
6 1 5
Direct
0.7530 0.0823 0.3270
0.2470 0.5908 0.3270
0.2465 0.2447 0.0000
0.7535 0.7553 0.0000
0.7530 0.4092 0.6730
0.2470 0.9177 0.6730
0.0000 0.0000 0.0000
0.5000 0.1676 0.6648
0.0000 0.3334 0.3332
0.5000 0.5000 0.0000
0.0000 0.6666 0.6668
0.5000 0.8324 0.3352
```

Values from the calculation:
Uncorrected formation energy ... -2.0459 eV per atom
E ... -4.843 eV/atom

***

(5)
Material: LaMgScTl
Method: DFT, GGA-PBE
State: optimized geometry

Structure (POSCAR):
```
LaMgScTl
1.0
-0.8831 3.3418 4.0916
-4.8619 0.2771 2.2302
-0.8027 -1.9487 4.9241
Sc Tl Mg La
1 1 1 1
Direct
0.2500 0.2500 0.2500
0.5000 0.5000 0.5000
0.0000 0.0000 0.0000
0.7500 0.7500 0.7500
```

Values from the calculation:
ΔH_f (0 K) ... -0.21 eV per atom
E ... -4.018 eV/atom

***

Which formula does entry 3 have? ZrVP3